First-principles (GGA-PBE) data for Ac2PuTaN5 after structural relaxation, as listed in the Alexandria database.

Cell lengths 3.499, 7.479, 11.299 Å; angles 90.00, 90.00, 103.53 degrees
Atoms (fractional coordinates):
N 0.726 0.452 0.142
N 0.309 0.617 0.401
N 0.927 0.853 0.559
N 0.274 0.548 0.642
N 0.073 0.147 0.059
N 0.501 0.002 0.283
N 0.639 0.279 0.497
N 0.361 0.721 0.997
N 0.499 0.998 0.783
N 0.691 0.383 0.901
Ta 0.225 0.450 0.010
Ta 0.775 0.550 0.510
Ac 0.109 0.217 0.684
Ac 0.891 0.783 0.184
Ac 0.144 0.287 0.285
Ac 0.856 0.713 0.785
Pu 0.466 0.931 0.462
Pu 0.534 0.069 0.962

Calculated values
Symmetry ... Cmc2_1, No. 36
Mass density ... 10.964 g/cm³
Total energy ... -9.50 eV/atom
Uncorrected formation energy ... -9.49 eV/f.u.
Total magnetization ... 7.71 μB/cell